1.
Y4GeIr3 | PBE | optimized geometry

energy relative to the elements = -0.8030 eV/atom
energy = -7.9351 eV/atom
spin magnetization = 0.000 μB per cell
density of states at the Fermi level = 4.072 states/eV/cell

abc: 3.953 4.240 10.600
angles: 90.00 90.00 90.00
Sites, in units of the cell vectors:
Y  0.000  0.000  0.000
Y  0.000  0.500  0.280
Y  0.500  0.000  0.488
Y  0.500  0.500  0.782
Ge  0.000  0.000  0.709
Ir  0.000  0.500  0.567
Ir  0.500  0.000  0.214
Ir  0.500  0.500  0.054


2.
Y5Ge5Ir2 | PBE | optimized geometry

energy relative to the elements = -0.8095 eV/atom
energy = -6.9036 eV/atom
spin magnetization = 0.000 μB per cell
density of states at the Fermi level = 7.537 states/eV/cell

abc: 7.850 7.850 11.005
angles: 129.08 129.08 31.19
Sites, in units of the cell vectors:
Y  0.000  0.000  0.000
Y  0.116  0.116  0.421
Y  0.198  0.198  0.825
Y  0.802  0.802  0.175
Y  0.884  0.884  0.579
Ge  0.253  0.253  0.303
Ge  0.441  0.441  0.163
Ge  0.500  0.500  0.500
Ge  0.559  0.559  0.837
Ge  0.747  0.747  0.697
Ir  0.356  0.356  0.742
Ir  0.644  0.644  0.258


3.
Y3Ge4Ir2 | PBE | optimized geometry

energy relative to the elements = -0.8049 eV/atom
energy = -6.9809 eV/atom
spin magnetization = 0.000 μB per cell
density of states at the Fermi level = 2.066 states/eV/cell

abc: 5.746 5.746 8.184
angles: 107.90 107.90 45.81
Sites, in units of the cell vectors:
Y  0.000  0.000  0.000
Y  0.320  0.320  0.355
Y  0.680  0.680  0.645
Ge  0.047  0.047  0.380
Ge  0.312  0.312  0.973
Ge  0.688  0.688  0.027
Ge  0.953  0.953  0.620
Ir  0.432  0.432  0.748
Ir  0.568  0.568  0.252


4.
Y4Ge3Ir | PBE | optimized geometry

energy relative to the elements = -0.8632 eV/atom
energy = -6.9343 eV/atom
spin magnetization = 0.000 μB per cell
density of states at the Fermi level = 5.982 states/eV/cell

abc: 4.018 4.206 10.794
angles: 90.00 90.00 90.00
Sites, in units of the cell vectors:
Y  0.000  0.000  0.000
Y  0.000  0.500  0.486
Y  0.500  0.000  0.711
Y  0.500  0.500  0.216
Ge  0.000  0.500  0.768
Ge  0.500  0.000  0.433
Ge  0.500  0.500  0.930
Ir  0.000  0.000  0.273


5.
Y2Ge2Ir3 | PBE | optimized geometry

energy relative to the elements = -0.5056 eV/atom
energy = -7.4693 eV/atom
spin magnetization = 0.000 μB per cell
density of states at the Fermi level = 2.916 states/eV/cell

abc: 6.036 3.934 6.756
angles: 90.00 111.50 90.00
Sites, in units of the cell vectors:
Y  0.148  0.000  0.271
Y  0.852  0.000  0.729
Ge  0.421  0.500  0.710
Ge  0.579  0.500  0.290
Ir  0.000  0.500  0.500
Ir  0.225  0.500  0.976
Ir  0.775  0.500  0.024


6.
Y2Ge5Ir3 | PBE | optimized geometry

energy relative to the elements = -0.7182 eV/atom
energy = -6.9780 eV/atom
spin magnetization = 0.000 μB per cell
energy above the most stable polymorph in this dataset = 0 meV/atom
density of states at the Fermi level = 8.777 states/eV/cell

abc: 8.392 8.392 8.392
angles: 104.24 90.78 137.76
Sites, in units of the cell vectors:
Y  0.134  0.225  0.359
Y  0.366  0.725  0.091
Y  0.634  0.275  0.909
Y  0.866  0.775  0.641
Ge  0.027  0.750  0.277
Ge  0.098  0.662  0.760
Ge  0.250  0.250  0.000
Ge  0.402  0.162  0.564
Ge  0.473  0.750  0.723
Ge  0.527  0.250  0.277
Ge  0.598  0.838  0.436
Ge  0.750  0.750  0.000
Ge  0.902  0.338  0.240
Ge  0.973  0.250  0.723
Ir  0.142  0.889  0.031
Ir  0.250  0.750  0.500
Ir  0.358  0.389  0.747
Ir  0.642  0.611  0.253
Ir  0.750  0.250  0.500
Ir  0.858  0.111  0.969


7.
YGe2Ir2 | PBE | optimized geometry

energy relative to the elements = -0.3252 eV/atom
energy = -7.0094 eV/atom
spin magnetization = 0.422 μB per cell
density of states at the Fermi level = 5.066 states/eV/cell

abc: 7.640 7.640 2.917
angles: 90.00 90.00 90.00
Sites, in units of the cell vectors:
Y  0.000  0.000  0.000
Y  0.500  0.500  0.000
Ge  0.145  0.355  0.000
Ge  0.355  0.855  0.000
Ge  0.645  0.145  0.000
Ge  0.855  0.645  0.000
Ir  0.146  0.646  0.500
Ir  0.354  0.146  0.500
Ir  0.646  0.854  0.500
Ir  0.854  0.354  0.500


8.
Y2Ge2Ir | PBE | optimized geometry

energy relative to the elements = -0.2339 eV/atom
energy = -6.4387 eV/atom
spin magnetization = 0.749 μB per cell
density of states at the Fermi level = 7.424 states/eV/cell

abc: 7.621 7.621 4.121
angles: 90.00 90.00 90.00
Sites, in units of the cell vectors:
Y  0.186  0.314  0.000
Y  0.314  0.814  0.000
Y  0.686  0.186  0.000
Y  0.814  0.686  0.000
Ge  0.112  0.612  0.500
Ge  0.388  0.112  0.500
Ge  0.612  0.888  0.500
Ge  0.888  0.388  0.500
Ir  0.000  0.000  0.000
Ir  0.500  0.500  0.000